Record 1
# TlAgPbCl6

A relaxed structure of TlAgPbCl6 (PBE, the Alexandria database).

## Properties
symmetry	P4_2nm, No. 102
DFT total energy	-2.995	eV per atom
magnetic moment	0.0	μB/f.u.

Lattice parameters (Å, degrees): 6.529 6.529 12.443 90.00 90.00 90.00
Fractional positions:
Tl: 0.000 0.000 0.000
Tl: 0.500 0.500 0.500
Ag: 0.000 0.000 0.334
Ag: 0.500 0.500 0.834
Pb: 0.000 0.000 0.665
Pb: 0.500 0.500 0.165
Cl: 0.187 0.187 0.164
Cl: 0.200 0.200 0.847
Cl: 0.210 0.210 0.492
Cl: 0.290 0.710 0.992
Cl: 0.300 0.700 0.347
Cl: 0.313 0.687 0.664
Cl: 0.687 0.313 0.664
Cl: 0.700 0.300 0.347
Cl: 0.710 0.290 0.992
Cl: 0.790 0.790 0.492
Cl: 0.800 0.800 0.847
Cl: 0.813 0.813 0.164



Record 2
# TlAgPbCl4

A relaxed structure of TlAgPbCl4 (PBE, the Alexandria database).

## Properties
symmetry	P2_1/m, No. 11
DFT total energy	-3.216	eV per atom
magnetic moment	0.0	μB/f.u.

Lattice parameters (Å, degrees): 7.190 7.479 8.681 90.00 108.64 90.00
Fractional positions:
Tl: 0.240 0.250 0.057
Tl: 0.760 0.750 0.943
Ag: 0.236 0.750 0.299
Ag: 0.764 0.250 0.701
Pb: 0.201 0.250 0.548
Pb: 0.799 0.750 0.452
Cl: 0.015 0.509 0.723
Cl: 0.015 0.991 0.723
Cl: 0.481 0.750 0.145
Cl: 0.493 0.750 0.594
Cl: 0.507 0.250 0.406
Cl: 0.519 0.250 0.855
Cl: 0.985 0.009 0.277
Cl: 0.985 0.491 0.277



Record 3
# Tl2AgPbCl5

A relaxed structure of Tl2AgPbCl5 (PBE, the Alexandria database).

## Properties
symmetry	Cmc2_1, No. 36
DFT total energy	-3.225	eV per atom
magnetic moment	0.0	μB/f.u.

Lattice parameters (Å, degrees): 9.556 9.556 13.553 90.00 90.00 153.82
Fractional positions:
Tl: 0.107 0.893 0.500
Tl: 0.126 0.874 0.115
Tl: 0.874 0.126 0.615
Tl: 0.893 0.107 0.000
Ag: 0.487 0.513 0.274
Ag: 0.513 0.487 0.774
Pb: 0.208 0.792 0.819
Pb: 0.792 0.208 0.319
Cl: 0.051 0.949 0.862
Cl: 0.286 0.714 0.465
Cl: 0.305 0.695 0.175
Cl: 0.363 0.637 0.813
Cl: 0.497 0.503 0.588
Cl: 0.503 0.497 0.088
Cl: 0.637 0.363 0.313
Cl: 0.695 0.305 0.675
Cl: 0.714 0.286 0.965
Cl: 0.949 0.051 0.362